This record from Alexandria describes a relaxed InPdS2 crystal. The functional is PBE.

a b c (Å): 6.9696 6.9696 6.9696
angles (deg): 131.44 131.44 71.11
Closest atoms and distances in Å follow each position.
Element x y z (fractional)
In 0.0000 0.0000 0.0000  4 S 2.54
In 0.7500 0.2500 0.5000  4 S 2.54
Pd 0.2500 0.7500 0.5000  4 S 2.41
Pd 0.5000 0.5000 0.0000  4 S 2.41
S 0.1460 0.6250 0.0210  2 Pd 2.41, 2 In 2.54
S 0.3750 0.3960 0.5210  2 Pd 2.41, 2 In 2.54
S 0.6040 0.1250 0.9790  2 Pd 2.41, 2 In 2.54
S 0.8750 0.8540 0.4790  2 Pd 2.41, 2 In 2.54

Results
Total energy (eV/cell): -34.9
Space-group type: I-42d
N(E_F) (states/eV/cell): 7.56
Calculated density (g/cm³): 5.088
Uncorrected formation energy (eV per formula unit): -1.24


This record from Alexandria describes a relaxed MgTaCu crystal. The functional is PBE.

a b c (Å): 5.0788 5.0788 7.6675
angles (deg): 111.03 111.03 33.00
Closest atoms and distances in Å follow each position.
Element x y z (fractional)
Mg 0.0030 0.0030 0.2011  5 Cu 2.73-2.83, 2 Mg 2.89, 2 Ta 3.05
Mg 0.9970 0.9970 0.7989  5 Cu 2.73-2.83, 2 Mg 2.89, 2 Ta 3.05
Ta 0.3411 0.3411 0.4261  2 Cu 2.75, 5 Ta 2.83-2.89, 2 Mg 3.05
Ta 0.6589 0.6589 0.5739  2 Cu 2.75, 5 Ta 2.83-2.89, 2 Mg 3.05
Cu 0.2968 0.2968 0.8978  2 Cu 2.54, 5 Mg 2.73-2.83, 2 Ta 2.75
Cu 0.7032 0.7032 0.1022  2 Cu 2.54, 5 Mg 2.73-2.83, 2 Ta 2.75

Results
Total energy (eV/cell): -34.2
Space-group type: C2/m
N(E_F) (states/eV/cell): 3.37
Calculated density (g/cm³): 8.936
DFT formation energy (eV/atom): 0.14
Energy above the most stable polymorph in this dataset (meV per atom): 59


This record from Alexandria describes a relaxed LiLaC3 crystal. The functional is PBE.

a b c (Å): 4.6058 4.6058 4.6058
angles (deg): 90.00 90.00 90.00
Closest atoms and distances in Å follow each position.
Element x y z (fractional)
Li 0.0000 0.0000 0.0000  12 C 3.26
La 0.5000 0.5000 0.5000  6 C 2.30
C 0.0000 0.5000 0.5000  2 La 2.30
C 0.5000 0.0000 0.5000  2 La 2.30
C 0.5000 0.5000 0.0000  2 La 2.30

Results
Total energy (eV/cell): -21.8
Space-group type: Pm-3m
N(E_F) (states/eV/cell): 4.29
Calculated density (g/cm³): 3.091
DFT formation energy (eV/atom): 2.54
Energy above the most stable polymorph in this dataset (meV per atom): 910


This record from Alexandria describes a relaxed Al2TeSe crystal. The functional is PBE.

a b c (Å): 3.2006 3.2006 9.3445
angles (deg): 90.00 90.00 90.00
Closest atoms and distances in Å follow each position.
Element x y z (fractional)
Al 0.0000 0.0000 0.0000  8 Al 2.95-3.20, 1 Se 3.20, 4 Te 3.30
Al 0.5000 0.5000 0.2026  4 Se 2.61
Te 0.5000 0.5000 0.7426  4 Te 3.20, 4 Al 3.30
Se 0.0000 0.0000 0.3424  4 Al 2.61

Results
Total energy (eV/cell): -14.2
Space-group type: P4mm
N(E_F) (states/eV/cell): 1.18
Calculated density (g/cm³): 4.519
Uncorrected formation energy (eV per formula unit): -0.13
Energy above the most stable polymorph in this dataset (meV per atom): 319


This record from Alexandria describes a relaxed Er5ZnCo4 crystal. The functional is PBE.

a b c (Å): 3.3269 3.3269 17.0546
angles (deg): 90.00 90.00 90.00
Closest atoms and distances in Å follow each position.
Element x y z (fractional)
Er 0.0000 0.0000 0.0000  8 Co 2.88
Er 0.0000 0.0000 0.1922  8 Co 2.86-2.90
Er 0.0000 0.0000 0.3844  4 Co 2.83, 4 Zn 3.07
Er 0.0000 0.0000 0.6156  4 Co 2.83, 4 Zn 3.07
Er 0.0000 0.0000 0.8078  8 Co 2.86-2.90
Zn 0.5000 0.5000 0.5000  8 Er 3.07, 4 Zn 3.33
Co 0.5000 0.5000 0.0969  8 Er 2.86-2.88
Co 0.5000 0.5000 0.2921  8 Er 2.83-2.90
Co 0.5000 0.5000 0.7079  8 Er 2.83-2.90
Co 0.5000 0.5000 0.9031  8 Er 2.86-2.88

Results
Total energy (eV/cell): -54.9
Space-group type: P4/mmm
N(E_F) (states/eV/cell): 4.32
Calculated density (g/cm³): 10.006
DFT formation energy (eV/atom): -0.24


This record from Alexandria describes a relaxed LiSmEuHg crystal. The functional is PBE.

a b c (Å): 5.4138 5.4138 5.4138
angles (deg): 60.00 60.00 60.00
Closest atoms and distances in Å follow each position.
Element x y z (fractional)
Li 0.0000 0.0000 0.0000  4 Sm 3.32, 4 Eu 3.32
Sm 0.2500 0.2500 0.2500  4 Hg 3.32, 4 Li 3.32
Eu 0.7500 0.7500 0.7500  4 Hg 3.32, 4 Li 3.32
Hg 0.5000 0.5000 0.5000  4 Sm 3.32, 4 Eu 3.32

Results
Total energy (eV/cell): -18.1
Space-group type: F-43m
N(E_F) (states/eV/cell): 7.98
Calculated density (g/cm³): 7.546
DFT formation energy (eV/atom): -0.21